# HgAsH (PBE-GGA, relaxed)
data_HgAsH
_cell_length_a 2.9160
_cell_length_b 13.2095
_cell_length_c 9.5264
_cell_angle_alpha 158.17
_cell_angle_beta 90.22
_cell_angle_gamma 89.88
_space_group_name_H-M_alt 'P 1'
_space_group_IT_number 1
loop_
_space_group_symop_operation_xyz
'x,y,z'
loop_
_atom_site_label
_atom_site_fract_x
_atom_site_fract_y
_atom_site_fract_z
Hg1 0.4987 0.3413 0.6526
Hg2 0.5013 0.6587 0.3474
As1 0.5014 0.1264 0.7767
As2 0.4986 0.8736 0.2233
H1 0.9943 0.4546 0.4096
H2 0.0057 0.5454 0.5904
# - M_tot: 0.0 Bohr magnetons per cell
# - Energy: -15.9 eV for the cell shown
# - Space group: P-1 (2)
# - Mass density: 6.7 g/cm3
# - Calculated volume: 22.74 Å³ per atom